[1]
VASP calculation (meta-GGA SCAN) on a crystal of AlSN2O relaxed with PBEsol.

Final energy = -7.788 eV/atom
Volume = 52 Å³ per cell

a b c (Å): 3.500 3.852 3.852
angles (deg): 90.00 90.00 90.00
Positions (direct):
S (0.500, 0.500, 0.500)
Al (0.000, 0.000, 0.000)
O (0.500, 0.000, 0.000)
N (0.000, 0.000, 0.500)
N (0.000, 0.500, 0.000)


[2]
VASP calculation (meta-GGA SCAN) on a crystal of BaMgCr2 relaxed with PBEsol.

Final energy = -19.811 eV/atom
E_form = 0.51 eV/atom
Volume = 100 Å³ per cell

a b c (Å): 3.427 3.862 7.573
angles (deg): 90.00 90.00 90.00
Positions (direct):
Ba (0.500, 0.500, 0.000)
Cr (0.000, 0.000, 0.311)
Cr (0.000, 0.000, 0.689)
Mg (0.500, 0.500, 0.500)


[3]
VASP calculation (meta-GGA SCAN) on a crystal of Ga3CoPd relaxed with PBEsol.

Final energy = -19.755 eV/atom
E_form = 0.07 eV/atom
Volume = 85 Å³ per cell

a b c (Å): 4.391 4.391 4.391
angles (deg): 90.00 90.00 90.00
Positions (direct):
Co (0.000, 0.000, 0.000)
Ga (0.000, 0.500, 0.000)
Ga (0.000, 0.000, 0.500)
Ga (0.500, 0.000, 0.000)
Pd (0.500, 0.500, 0.500)


[4]
VASP calculation (meta-GGA SCAN) on a crystal of BaTc2Pt relaxed with PBEsol.

Energy above the most stable polymorph in this dataset = 844 meV/atom
Final energy = -43.985 eV/atom
E_form = 0.98 eV/atom
Volume = 74 Å³ per cell

a b c (Å): 4.542 4.813 4.542
angles (deg): 61.85 90.00 118.15
Positions (direct):
Ba (0.500, 0.000, 0.500)
Pt (0.750, 0.500, 0.750)
Tc (0.000, 0.000, 0.000)
Tc (0.250, 0.500, 0.250)


[5]
VASP calculation (meta-GGA SCAN) on a crystal of La3ZrCr relaxed with PBEsol.

Final energy = -34.976 eV/atom
E_form = 0.70 eV/atom
Volume = 173 Å³ per cell

a b c (Å): 5.575 5.575 5.575
angles (deg): 90.00 90.00 90.00
Positions (direct):
Cr (0.500, 0.500, 0.500)
Zr (0.000, 0.000, 0.000)
La (0.000, 0.500, 0.000)
La (0.000, 0.000, 0.500)
La (0.500, 0.000, 0.000)


[6]
VASP calculation (meta-GGA SCAN) on a crystal of Cd4AsBr relaxed with PBEsol.

Final energy = -26.744 eV/atom
Volume = 135 Å³ per cell

a b c (Å): 5.756 5.756 5.756
angles (deg): 60.00 60.00 60.00
Positions (direct):
As (0.750, 0.750, 0.750)
Br (0.000, 0.000, 0.000)
Cd (0.375, 0.375, 0.375)
Cd (0.375, 0.375, 0.874)
Cd (0.874, 0.375, 0.375)
Cd (0.375, 0.874, 0.375)